i.
## PrIn2Pd4 (PBE)

Data for PrIn2Pd4 after structural relaxation.

## Properties
* total magnetization: 0.00 μB per atom
* crystal system: tetragonal

Cell: 7.943 7.943 4.442 Å, 90.00 90.00 90.00°
Space group P4_2/mnm (No. 136)
Asymmetric unit:
Pr 0.000 0.000 0.000 x2
In 0.215 0.215 0.500 x4
Pd 0.099 0.645 0.500 x8

***

ii.
## PrIn2Pd4 (PBE)

Data for PrIn2Pd4 after structural relaxation.

## Properties
* total magnetization: 0.00 μB per atom
* crystal system: tetragonal

Cell: 6.936 6.936 5.694 Å, 90.00 90.00 90.00°
Space group I4/mmm (No. 139)
Asymmetric unit:
Pr 0.000 0.000 0.000 x2
In 0.000 0.500 0.250 x4
Pd 0.200 0.200 0.500 x8

***

Most stable: ii (next structure +102 meV/atom)

***

i.
## Pr2InPd6 (PBE)

Data for Pr2InPd6 after structural relaxation.

## Properties
* total magnetization: 0.00 μB per atom
* crystal system: trigonal

Cell: 5.8474 5.8474 6.1384 Å, 90.00 90.00 120.00°
Space group P-3m1 (No. 164)
Asymmetric unit:
Pr 0.3333 0.6667 0.3053 x2
In 0.0000 0.0000 0.5000 x1
Pd 0.1752 0.3505 0.8228 x6

***

ii.
## Pr2InPd6 (PBE)

Data for Pr2InPd6 after structural relaxation.

## Properties
* total magnetization: 0.00 μB per atom
* crystal system: monoclinic

Cell: 12.969 8.409 3.833 Å, 90.00 107.15 90.00°
Space group C2/m (No. 12)
Asymmetric unit:
Pr 0.160 0.000 0.158 x4
In 0.000 0.500 0.500 x2
Pd 0.000 0.266 0.000 x4
Pd 0.164 0.268 0.663 x8

***

Most stable: i (next structure +243 meV/atom)

***

i.
## PrIn3Pd3 (PBE)

Data for PrIn3Pd3 after structural relaxation.

## Properties
* total magnetization: 0.00 μB per atom
* crystal system: trigonal

Cell: 8.2581 8.2581 16.5509 Å, 90.00 90.00 120.00°
Space group R-3 (No. 148, hexagonal axes)
Asymmetric unit:
Pr 0.0000 0.0000 0.1704 x6
In 0.0092 0.6893 0.6206 x18
Pd 0.0036 0.7064 0.4504 x18

***

ii.
## PrIn3Pd3 (PBE)

Data for PrIn3Pd3 after structural relaxation.

## Properties
* total magnetization: 0.00 μB per atom
* crystal system: monoclinic

Cell: 8.849 4.592 8.854 Å, 90.00 119.97 90.00°
Space group P2_1/m (No. 11)
Asymmetric unit:
Pr 0.166 0.250 0.333 x2
In 0.223 0.250 0.756 x2
In 0.256 0.750 0.033 x2
In 0.467 0.750 0.723 x2
Pd 0.057 0.250 0.945 x2
Pd 0.112 0.750 0.557 x2
Pd 0.445 0.750 0.388 x2

***

iii.
## PrIn3Pd3 (PBE)

Data for PrIn3Pd3 after structural relaxation.

## Properties
* total magnetization: 0.00 μB per atom
* crystal system: cubic

Cell: 7.267 7.267 7.267 Å, 90.00 90.00 90.00°
Space group Pm-3n (No. 223)
Asymmetric unit:
Pr 0.000 0.000 0.000 x2
In 0.000 0.250 0.500 x6
Pd 0.000 0.500 0.250 x6

***

Most stable: ii (next structure +45 meV/atom)

***

i.
## Pr8In2Pd (PBE)

Data for Pr8In2Pd after structural relaxation.

## Properties
* total magnetization: 0.00 μB per atom
* crystal system: monoclinic

Cell: 19.494 5.280 7.038 Å, 90.00 103.87 90.00°
Space group C2/m (No. 12)
Asymmetric unit:
Pr 0.016 0.000 0.276 x4
Pr 0.092 0.500 0.961 x4
Pr 0.150 0.500 0.478 x4
Pr 0.209 0.000 0.802 x4
In 0.184 0.000 0.247 x4
Pd 0.000 0.500 0.500 x2

***

ii.
## Pr8In2Pd (PBE)

Data for Pr8In2Pd after structural relaxation.

## Properties
* total magnetization: 0.00 μB per atom
* crystal system: orthorhombic

Cell: 5.640 7.247 16.888 Å, 90.00 90.00 90.00°
Space group Immm (No. 71)
Asymmetric unit:
Pr 0.000 0.000 0.196 x4
Pr 0.000 0.238 0.369 x8
Pr 0.000 0.251 0.000 x4
In 0.000 0.500 0.185 x4
Pd 0.000 0.500 0.500 x2

***

Most stable: i (next structure +24 meV/atom)

***

i.
## Pr6In2Pd (PBE)

Data for Pr6In2Pd after structural relaxation.

## Properties
* total magnetization: 0.00 μB per atom
* crystal system: tetragonal

Cell: 10.372 10.372 5.167 Å, 90.00 90.00 90.00°
Space group P4_2/mnm (No. 136)
Asymmetric unit:
Pr 0.021 0.315 0.000 x8
Pr 0.116 0.884 0.500 x4
In 0.205 0.205 0.500 x4
Pd 0.000 0.000 0.000 x2

***

ii.
## Pr6In2Pd (PBE)

Data for Pr6In2Pd after structural relaxation.

## Properties
* total magnetization: 0.00 μB per atom
* crystal system: hexagonal

Cell: 9.0642 9.0642 3.9075 Å, 90.00 90.00 120.00°
Space group P-62m (No. 189)
Asymmetric unit:
Pr 0.0000 0.4000 0.0000 x3
Pr 0.0000 0.7497 0.5000 x3
In 0.3333 0.6667 0.5000 x2
Pd 0.0000 0.0000 0.0000 x1

***

Most stable: ii (next structure +49 meV/atom)

***

i.
## InPd2Pt2 (PBE)

Data for InPd2Pt2 after structural relaxation.

## Properties
* total magnetization: 0.00 μB per atom
* crystal system: tetragonal

Cell: 5.006 5.006 7.815 Å, 90.00 90.00 90.00°
Space group I4/mmm (No. 139)
Asymmetric unit:
In 0.000 0.000 0.000 x2
Pd 0.000 0.000 0.338 x4
Pt 0.000 0.500 0.250 x4

***

ii.
## InPd2Pt2 (PBE)

Data for InPd2Pt2 after structural relaxation.

## Properties
* total magnetization: 0.00 μB per atom
* crystal system: tetragonal

Cell: 3.646 3.646 13.811 Å, 90.00 90.00 90.00°
Space group I4/mmm (No. 139)
Asymmetric unit:
In 0.000 0.000 0.000 x2
Pd 0.000 0.000 0.403 x4
Pt 0.000 0.500 0.250 x4

***

Most stable: ii (next structure +262 meV/atom)

***

i.
## In2Pd3Pt4 (PBE)

Data for In2Pd3Pt4 after structural relaxation.

## Properties
* total magnetization: 0.00 μB per atom
* crystal system: orthorhombic

Cell: 4.627 8.201 9.650 Å, 90.00 90.00 90.00°
Space group Immm (No. 71)
Asymmetric unit:
In 0.000 0.220 0.000 x4
Pd 0.000 0.000 0.220 x4
Pd 0.000 0.500 0.500 x2
Pt 0.000 0.331 0.259 x8

***

ii.
## In2Pd3Pt4 (PBE)

Data for In2Pd3Pt4 after structural relaxation.

## Properties
* total magnetization: 0.00 μB per atom
* crystal system: triclinic

Cell: 4.059 4.959 8.489 Å, 95.52 103.76 114.11°
Space group P-1 (No. 2)
Asymmetric unit:
In 0.057 0.391 0.224 x2
Pd 0.389 0.725 0.553 x2
Pd 0.500 0.500 0.000 x1
Pt 0.163 0.160 0.665 x2
Pt 0.277 0.944 0.111 x2

***

Most stable: ii (next structure +181 meV/atom)

***

i.
## In2Pd4Pt (PBE)

Data for In2Pd4Pt after structural relaxation.

## Properties
* total magnetization: 0.00 μB per atom
* crystal system: tetragonal

Cell: 4.904 4.904 13.521 Å, 90.00 90.00 90.00°
Space group I4/mmm (No. 139)
Asymmetric unit:
In 0.000 0.000 0.116 x4
Pd 0.000 0.000 0.305 x4
Pd 0.000 0.500 0.000 x4
Pt 0.000 0.000 0.500 x2

***

ii.
## In2Pd4Pt (PBE)

Data for In2Pd4Pt after structural relaxation.

## Properties
* total magnetization: 0.00 μB per atom
* crystal system: monoclinic

Cell: 6.806 5.533 7.134 Å, 90.00 114.32 90.00°
Space group P2_1/m (No. 11)
Asymmetric unit:
In 0.086 0.250 0.377 x2
In 0.272 0.750 0.072 x2
Pd 0.248 0.250 0.083 x2
Pd 0.334 0.504 0.761 x4
Pd 0.485 0.750 0.495 x2
Pt 0.049 0.750 0.315 x2

***

Most stable: ii (next structure +715 meV/atom)